Computed, not measured: an optimized crystal structure of Er3PdO at the PBE-GGA level of DFT.

Cell: 4.6469 4.6469 4.6469 Å, 90.00 90.00 90.00°
With the nearest neighbours (Å) after each atom.
Fractional coordinates of all 5 atoms:
Er 0.0000 0.0000 0.5000  2 O 2.32
Er 0.0000 0.5000 0.0000  2 O 2.32
Er 0.5000 0.0000 0.0000  2 O 2.32
Pd 0.5000 0.5000 0.5000  12 Er 3.29
O 0.0000 0.0000 0.0000  6 Er 2.32

Output
The calculation puts the density of states at the Fermi level at 4.902 states/eV/cell. Its calculated volume is 100 Å³ per cell. The calculation puts the raw formation energy at -1.41 eV/atom.

=====

Computed, not measured: an optimized crystal structure of Er6Pd2O at the PBE-GGA level of DFT.

Cell: 6.3665 6.9176 11.3106 Å, 90.00 122.86 90.00°
With the nearest neighbours (Å) after each atom.
Fractional coordinates of all 18 atoms:
Er 0.1244 0.0251 0.2445  1 O 2.43
Er 0.1244 0.4749 0.7445  1 O 2.43
Er 0.2339 0.6882 0.0573  1 O 2.50
Er 0.2339 0.8118 0.5573  1 O 2.50
Er 0.3700 0.1822 0.0562  1 O 2.43
Er 0.3700 0.3178 0.5562  1 O 2.43
Er 0.6300 0.6822 0.4438  1 O 2.43
Er 0.6300 0.8178 0.9438  1 O 2.43
Er 0.7661 0.1882 0.4427  1 O 2.50
Er 0.7661 0.3118 0.9427  1 O 2.50
Er 0.8756 0.5251 0.2555  1 O 2.43
Er 0.8756 0.9749 0.7555  1 O 2.43
Pd 0.3018 0.0976 0.7532  6 Er 2.81-2.94
Pd 0.3018 0.4024 0.2532  6 Er 2.81-2.94
Pd 0.6982 0.5976 0.7468  6 Er 2.81-2.94
Pd 0.6982 0.9024 0.2468  6 Er 2.81-2.94
O 0.0000 0.0000 0.0000  6 Er 2.43-2.50
O 0.0000 0.5000 0.5000  6 Er 2.43-2.50

Output
The calculation puts the density of states at the Fermi level at 17.037 states/eV/cell. Its calculated volume is 418 Å³ per cell. The calculation puts the raw formation energy at -1.08 eV/atom.

=====

Computed, not measured: an optimized crystal structure of Er2PdO at the PBE-GGA level of DFT.

Cell: 3.1310 3.1310 7.0263 Å, 90.00 90.00 90.00°
With the nearest neighbours (Å) after each atom.
Fractional coordinates of all 4 atoms:
Er 0.0000 0.0000 0.2267  4 O 2.73, 4 Pd 2.93
Er 0.0000 0.0000 0.7733  4 O 2.73, 4 Pd 2.93
Pd 0.5000 0.5000 0.5000  8 Er 2.93, 4 Pd 3.13
O 0.5000 0.5000 0.0000  8 Er 2.73

Output
The calculation puts the density of states at the Fermi level at 3.136 states/eV/cell. Its calculated volume is 69 Å³ per cell. The calculation puts the raw formation energy at -1.29 eV/atom. The value obtained for the energy relative to the lowest polymorph listed for this composition is 0.0 meV per atom.

=====

Computed, not measured: an optimized crystal structure of ErPd3O6 at the PBE-GGA level of DFT.

Cell: 6.1734 6.1734 3.4529 Å, 90.00 90.00 109.80°
With the nearest neighbours (Å) after each atom.
Fractional coordinates of all 10 atoms:
Er 0.0000 0.0000 0.0000  8 O 2.29-2.42
Pd 0.0000 0.5000 0.5000  6 O 2.04-2.13
Pd 0.5000 0.0000 0.5000  6 O 2.04-2.13
Pd 0.5000 0.5000 0.0000  4 O 1.99
O 0.1496 0.8504 0.5000  2 Pd 2.04
O 0.1590 0.4170 0.0000  3 Pd 1.99-2.13
O 0.4170 0.1590 0.0000  3 Pd 1.99-2.13
O 0.5830 0.8410 0.0000  3 Pd 1.99-2.13
O 0.8410 0.5830 0.0000  3 Pd 1.99-2.13
O 0.8504 0.1496 0.5000  2 Pd 2.04

Output
The calculation puts the density of states at the Fermi level at 3.737 states/eV/cell. Its calculated volume is 124 Å³ per cell. The calculation puts the raw formation energy at -1.22 eV/atom.

=====

Computed, not measured: an optimized crystal structure of Er2PdO at the PBE-GGA level of DFT.

Cell: 8.2792 8.2792 8.2792 Å, 23.03 23.03 23.03°
With the nearest neighbours (Å) after each atom.
Fractional coordinates of all 4 atoms:
Er 0.1083 0.1083 0.1083  3 O 2.37, 1 Pd 2.62
Er 0.8917 0.8917 0.8917  3 O 2.37, 1 Pd 2.62
Pd 0.0000 0.0000 0.0000  2 Er 2.62
O 0.5000 0.5000 0.5000  6 Er 2.37

Output
The calculation puts the density of states at the Fermi level at 2.074 states/eV/cell. Its calculated volume is 76 Å³ per cell. The calculation puts the raw formation energy at -1.29 eV/atom. The value obtained for the energy relative to the lowest polymorph listed for this composition is 4.2 meV per atom.

=====

Computed, not measured: an optimized crystal structure of ErPdO3 at the PBE-GGA level of DFT.

Cell: 5.8077 5.8077 9.1263 Å, 108.05 108.05 59.95°
With the nearest neighbours (Å) after each atom.
Fractional coordinates of all 20 atoms:
Er 0.0073 0.6937 0.8657  6 O 2.24-2.45
Er 0.3063 0.9927 0.6343  6 O 2.24-2.45
Er 0.6937 0.0073 0.3657  6 O 2.24-2.45
Er 0.9927 0.3063 0.1343  6 O 2.24-2.45
Pd 0.0000 0.5000 0.5000  6 O 2.02-2.25
Pd 0.3028 0.6972 0.2500  6 O 2.08-2.18
Pd 0.5000 0.0000 0.0000  6 O 2.02-2.25
Pd 0.6972 0.3028 0.7500  6 O 2.08-2.18
O 0.0905 0.2444 0.8647  2 Pd 2.10-2.25
O 0.1549 0.7169 0.4480  2 Pd 2.10-2.18, 1 Er 2.24
O 0.2444 0.0905 0.3647  2 Pd 2.10-2.25
O 0.2831 0.8451 0.0520  2 Pd 2.10-2.18, 1 Er 2.24
O 0.2859 0.4095 0.6946  2 Pd 2.02-2.08, 1 Er 2.25
O 0.4095 0.2859 0.1946  2 Pd 2.02-2.08, 1 Er 2.25
O 0.5905 0.7141 0.8054  2 Pd 2.02-2.08, 1 Er 2.25
O 0.7141 0.5905 0.3054  2 Pd 2.02-2.08, 1 Er 2.25
O 0.7169 0.1549 0.9480  2 Pd 2.10-2.18, 1 Er 2.24
O 0.7556 0.9095 0.6353  2 Pd 2.10-2.25
O 0.8451 0.2831 0.5520  2 Pd 2.10-2.18, 1 Er 2.24
O 0.9095 0.7556 0.1353  2 Pd 2.10-2.25

Output
The calculation puts the density of states at the Fermi level at 6.211 states/eV/cell. Its calculated volume is 249 Å³ per cell. The calculation puts the raw formation energy at -1.91 eV/atom.

=====

Computed, not measured: an optimized crystal structure of Er12Pd3O5 at the PBE-GGA level of DFT.

Cell: 13.0533 13.0533 13.0533 Å, 109.47 109.47 109.47°
With the nearest neighbours (Å) after each atom.
Fractional coordinates of all 80 atoms:
Er 0.0188 0.2049 0.1146  1 O 2.18
Er 0.0188 0.3140 0.9042  1 O 2.18
Er 0.0903 0.7049 0.6860  1 O 2.18
Er 0.0903 0.8854 0.4042  1 O 2.18
Er 0.0958 0.6146 0.4097  1 O 2.18
Er 0.0958 0.9812 0.6860  1 O 2.18
Er 0.1146 0.0188 0.2049  1 O 2.18
Er 0.1146 0.5958 0.9097  1 O 2.18
Er 0.1860 0.2049 0.5903  1 O 2.18
Er 0.1860 0.4812 0.5958  1 O 2.18
Er 0.2049 0.1146 0.0188  1 O 2.18
Er 0.2049 0.5903 0.1860  1 O 2.18
Er 0.2951 0.3140 0.9097  1 O 2.18
Er 0.2951 0.4812 0.3854  1 O 2.18
Er 0.3140 0.9042 0.0188  1 O 2.18
Er 0.3140 0.9097 0.2951  1 O 2.18
Er 0.3854 0.2951 0.4812  1 O 2.18
Er 0.3854 0.5903 0.9042  1 O 2.18
Er 0.4042 0.0903 0.8854  1 O 2.18
Er 0.4042 0.8140 0.5188  1 O 2.18
Er 0.4097 0.0958 0.6146  1 O 2.18
Er 0.4097 0.8140 0.7951  1 O 2.18
Er 0.4812 0.3854 0.2951  1 O 2.18
Er 0.4812 0.5958 0.1860  1 O 2.18
Er 0.5188 0.4042 0.8140  1 O 2.18
Er 0.5188 0.6146 0.7049  1 O 2.18
Er 0.5903 0.1860 0.2049  1 O 2.18
Er 0.5903 0.9042 0.3854  1 O 2.18
Er 0.5958 0.1860 0.4812  1 O 2.18
Er 0.5958 0.9097 0.1146  1 O 2.18
Er 0.6146 0.4097 0.0958  1 O 2.18
Er 0.6146 0.7049 0.5188  1 O 2.18
Er 0.6860 0.0903 0.7049  1 O 2.18
Er 0.6860 0.0958 0.9812  1 O 2.18
Er 0.7049 0.5188 0.6146  1 O 2.18
Er 0.7049 0.6860 0.0903  1 O 2.18
Er 0.7951 0.4097 0.8140  1 O 2.18
Er 0.7951 0.8854 0.9812  1 O 2.18
Er 0.8140 0.5188 0.4042  1 O 2.18
Er 0.8140 0.7951 0.4097  1 O 2.18
Er 0.8854 0.4042 0.0903  1 O 2.18
Er 0.8854 0.9812 0.7951  1 O 2.18
Er 0.9042 0.0188 0.3140  1 O 2.18
Er 0.9042 0.3854 0.5903  1 O 2.18
Er 0.9097 0.1146 0.5958  1 O 2.18
Er 0.9097 0.2951 0.3140  1 O 2.18
Er 0.9812 0.6860 0.0958  1 O 2.18
Er 0.9812 0.7951 0.8854  1 O 2.18
Pd 0.1250 0.2500 0.3750  8 Er 2.97-3.02
Pd 0.1250 0.3750 0.7500  8 Er 2.97-3.02
Pd 0.2500 0.3750 0.1250  8 Er 2.97-3.02
Pd 0.2500 0.8750 0.6250  8 Er 2.97-3.02
Pd 0.3750 0.1250 0.2500  8 Er 2.97-3.02
Pd 0.3750 0.7500 0.1250  8 Er 2.97-3.02
Pd 0.6250 0.2500 0.8750  8 Er 2.97-3.02
Pd 0.6250 0.8750 0.7500  8 Er 2.97-3.02
Pd 0.7500 0.1250 0.3750  8 Er 2.97-3.02
Pd 0.7500 0.6250 0.8750  8 Er 2.97-3.02
Pd 0.8750 0.6250 0.2500  8 Er 2.97-3.02
Pd 0.8750 0.7500 0.6250  8 Er 2.97-3.02
O 0.0000 0.0000 0.0000  6 Er 2.47
O 0.0000 0.0000 0.5000  6 Er 2.47
O 0.0000 0.5000 0.0000  6 Er 2.47
O 0.0000 0.5000 0.5000  6 Er 2.47
O 0.1250 0.7500 0.8750  4 Er 2.18
O 0.1250 0.8750 0.2500  4 Er 2.18
O 0.2500 0.1250 0.8750  4 Er 2.18
O 0.2500 0.6250 0.3750  4 Er 2.18
O 0.3750 0.2500 0.6250  4 Er 2.18
O 0.3750 0.6250 0.7500  4 Er 2.18
O 0.5000 0.0000 0.0000  6 Er 2.47
O 0.5000 0.0000 0.5000  6 Er 2.47
O 0.5000 0.5000 0.0000  6 Er 2.47
O 0.5000 0.5000 0.5000  6 Er 2.47
O 0.6250 0.3750 0.2500  4 Er 2.18
O 0.6250 0.7500 0.3750  4 Er 2.18
O 0.7500 0.3750 0.6250  4 Er 2.18
O 0.7500 0.8750 0.1250  4 Er 2.18
O 0.8750 0.1250 0.7500  4 Er 2.18
O 0.8750 0.2500 0.1250  4 Er 2.18

Output
The calculation puts the density of states at the Fermi level at 76.046 states/eV/cell. Its calculated volume is 1712 Å³ per cell. The calculation puts the raw formation energy at -1.66 eV/atom.

=====

Computed, not measured: an optimized crystal structure of ErPd3O4 at the PBE-GGA level of DFT.

Cell: 5.8617 5.8617 5.8617 Å, 90.00 90.00 90.00°
With the nearest neighbours (Å) after each atom.
Fractional coordinates of all 16 atoms:
Er 0.0000 0.0000 0.0000  8 O 2.54
Er 0.5000 0.5000 0.5000  8 O 2.54
Pd 0.0000 0.2500 0.5000  4 O 2.07
Pd 0.0000 0.7500 0.5000  4 O 2.07
Pd 0.2500 0.5000 0.0000  4 O 2.07
Pd 0.5000 0.0000 0.2500  4 O 2.07
Pd 0.5000 0.0000 0.7500  4 O 2.07
Pd 0.7500 0.5000 0.0000  4 O 2.07
O 0.2500 0.2500 0.2500  3 Pd 2.07
O 0.2500 0.2500 0.7500  3 Pd 2.07
O 0.2500 0.7500 0.2500  3 Pd 2.07
O 0.2500 0.7500 0.7500  3 Pd 2.07
O 0.7500 0.2500 0.2500  3 Pd 2.07
O 0.7500 0.2500 0.7500  3 Pd 2.07
O 0.7500 0.7500 0.2500  3 Pd 2.07
O 0.7500 0.7500 0.7500  3 Pd 2.07

Output
The calculation puts the density of states at the Fermi level at 5.004 states/eV/cell. Its calculated volume is 201 Å³ per cell. The calculation puts the raw formation energy at -1.28 eV/atom.

=====

Computed, not measured: an optimized crystal structure of Pm2ErPdO6 at the PBE-GGA level of DFT.

Cell: 5.6883 5.8359 5.8902 Å, 61.43 89.99 62.00°
With the nearest neighbours (Å) after each atom.
Fractional coordinates of all 10 atoms:
Pm 0.0000 0.0000 0.0000  5 O 2.28-2.49
Pm 0.4949 0.9947 0.5127  5 O 2.30-2.45
Er 0.7223 0.5430 0.1761  6 O 2.17-2.31
Pd 0.2105 0.5638 0.6509  4 O 2.07-2.10
O 0.0904 0.4649 0.3934  1 Pd 2.07, 1 Er 2.19
O 0.3416 0.7043 0.8673  1 Pd 2.10, 1 Er 2.31, 1 Pm 2.35
O 0.4222 0.7055 0.3809  1 Pd 2.08, 1 Er 2.20
O 0.6000 0.0319 0.8780  1 Er 2.25, 2 Pm 2.28-2.37, 1 Pd 2.43
O 0.8384 0.0682 0.3543  1 Er 2.17, 2 Pm 2.30-2.41, 1 Pd 2.33
O 0.9407 0.4737 0.8684  1 Pd 2.09, 1 Er 2.28, 1 Pm 2.33

Output
The calculation puts the density of states at the Fermi level at 0.021 states/eV/cell. Its calculated volume is 145 Å³ per cell. The calculation puts the raw formation energy at -2.60 eV/atom.